Computed, not measured: Li2GeSb after structural relaxation at the PBE level of DFT.

Output
Crystal system: monoclinic
DFT total energy in eV per atom: -3.370
Calculated density in g/cm³: 4.1
DOS at the Fermi energy in states/eV per cell: 3.03
Total magnetization in μB per cell: 0.0
Uncorrected formation energy in kcal/mol of atoms: -5.3
Energy above the most stable polymorph in this dataset in meV/atom: 109

Geometry as POSCAR:
```
Li2GeSb
1.0
6.387 0.000 0.000
0.000 6.880 0.000
-5.959 0.000 7.627
Li Ge Sb
8 4 4
direct
0.096 0.205 0.091 Li
0.096 0.295 0.591 Li
0.197 0.728 0.272 Li
0.197 0.772 0.772 Li
0.803 0.228 0.228 Li
0.803 0.272 0.728 Li
0.904 0.705 0.409 Li
0.904 0.795 0.909 Li
0.326 0.123 0.453 Ge
0.326 0.377 0.953 Ge
0.674 0.623 0.047 Ge
0.674 0.877 0.547 Ge
0.463 0.586 0.640 Sb
0.463 0.914 0.140 Sb
0.537 0.086 0.860 Sb
0.537 0.414 0.360 Sb
```